Record 1
Compound: PmDy3Tm2As6
Source: the Alexandria database
Functional: PBE-GGA
Structure: relaxed

a = 7.139 Å, b = 12.363 Å, c = 7.139 Å
α = 90.00°, β = 109.46°, γ = 90.00°
Space group C2/m (No. 12)
Symmetry-distinct sites (fractional):
Pm 0.000 0.000 0.000 [2 per cell]
Dy 0.000 0.165 0.500 [4 per cell]
Dy 0.000 0.500 0.500 [2 per cell]
Tm 0.000 0.333 0.000 [4 per cell]
As 0.244 0.500 0.249 [4 per cell]
As 0.247 0.330 0.750 [8 per cell]

Output
Its formation energy is -1518 meV per atom. The calculation puts the density of states at the Fermi level at 3.7 states/eV per cell.

---

Record 2
Compound: Pm2Dy3TmAs6
Source: the Alexandria database
Functional: PBE-GGA
Structure: relaxed

a = 18.088 Å, b = 4.152 Å, c = 8.299 Å
α = 90.00°, β = 103.26°, γ = 90.00°
Space group C2/m (No. 12)
Symmetry-distinct sites (fractional):
Pm 0.166 0.000 0.332 [4 per cell]
Dy 0.000 0.500 0.500 [2 per cell]
Dy 0.167 0.000 0.834 [4 per cell]
Tm 0.000 0.500 0.000 [2 per cell]
As 0.002 0.000 0.754 [4 per cell]
As 0.165 0.500 0.077 [4 per cell]
As 0.165 0.500 0.587 [4 per cell]

Output
Its formation energy is -1521 meV per atom. The calculation puts the density of states at the Fermi level at 3.5 states/eV per cell.

---

Record 3
Compound: PmDy2TmAs4
Source: the Alexandria database
Functional: PBE-GGA
Structure: relaxed

a = 7.162 Å, b = 4.138 Å, c = 7.164 Å
α = 90.00°, β = 109.47°, γ = 90.00°
Space group P2/m (No. 10)
Symmetry-distinct sites (fractional):
Pm 0.000 0.000 0.000 [1 per cell]
Dy 0.000 0.500 0.500 [1 per cell]
Dy 0.500 0.000 0.500 [1 per cell]
Tm 0.500 0.500 0.000 [1 per cell]
As 0.255 0.000 0.750 [2 per cell]
As 0.256 0.500 0.254 [2 per cell]

Output
Its formation energy is -1519 meV per atom. The calculation puts the density of states at the Fermi level at 0.9 states/eV per cell.

---

Record 4
Compound: PmDyU2As4
Source: the Alexandria database
Functional: PBE-GGA
Structure: relaxed

a = 7.095 Å, b = 4.095 Å, c = 7.251 Å
α = 90.00°, β = 109.02°, γ = 90.00°
Space group P2/m (No. 10)
Symmetry-distinct sites (fractional):
Pm 0.000 0.000 0.000 [1 per cell]
Dy 0.500 0.500 0.000 [1 per cell]
U 0.000 0.500 0.500 [1 per cell]
U 0.500 0.000 0.500 [1 per cell]
As 0.252 0.000 0.745 [2 per cell]
As 0.256 0.500 0.257 [2 per cell]

Output
Its formation energy is -1132 meV per atom. The calculation puts the density of states at the Fermi level at 7.9 states/eV per cell.

---

Record 5
Compound: PmDy3Y2As6
Source: the Alexandria database
Functional: PBE-GGA
Structure: relaxed

a = 7.173 Å, b = 12.422 Å, c = 7.173 Å
α = 90.00°, β = 109.45°, γ = 90.00°
Space group C2/m (No. 12)
Symmetry-distinct sites (fractional):
Pm 0.000 0.000 0.000 [2 per cell]
Dy 0.000 0.166 0.500 [4 per cell]
Dy 0.000 0.500 0.500 [2 per cell]
Y 0.000 0.333 0.000 [4 per cell]
As 0.247 0.332 0.747 [8 per cell]
As 0.247 0.500 0.252 [4 per cell]

Output
Its formation energy is -1539 meV per atom. The calculation puts the density of states at the Fermi level at 3.7 states/eV per cell.

---

Record 6
Compound: PmDy2YAs4
Source: the Alexandria database
Functional: PBE-GGA
Structure: relaxed

a = 7.187 Å, b = 4.152 Å, c = 7.189 Å
α = 90.00°, β = 109.47°, γ = 90.00°
Space group P2/m (No. 10)
Symmetry-distinct sites (fractional):
Pm 0.000 0.000 0.000 [1 per cell]
Dy 0.000 0.500 0.500 [1 per cell]
Dy 0.500 0.000 0.500 [1 per cell]
Y 0.500 0.500 0.000 [1 per cell]
As 0.252 0.000 0.747 [2 per cell]
As 0.255 0.500 0.255 [2 per cell]

Output
Its formation energy is -1536 meV per atom. The calculation puts the density of states at the Fermi level at 0.9 states/eV per cell.